The following is a DFT calculation (GGA-PBEsol) of a relaxed structure of FeCuAs2.

Computed properties:
- Crystal system: tetragonal
- SG: No. 99
- Energy relative to the elements: 0.119 eV per atom

abc: 3.0826 3.0826 6.4619
angles: 90.00 90.00 90.00
Site moments in Bohr magnetons follow the coordinates.
Element x y z (fractional)
As (0.0000, 0.0000, 0.9088)  -0.03
Fe (0.5000, 0.5000, 0.7337)  1.89
As (0.5000, 0.5000, 0.3377)  0.01
Cu (0.0000, 0.0000, 0.5197)  0.02

The following is a DFT calculation (GGA-PBEsol) of a relaxed structure of Ta3Au.

Computed properties:
- E above lowest polymorph: 42 meV per atom
- Crystal system: orthorhombic
- SG: No. 63
- Energy relative to the elements: -0.033 eV per atom

abc: 4.7160 5.6769 5.6769
angles: 114.54 90.00 90.00
Element x y z (fractional)
Au (0.7500, 0.3454, 0.6546)
Ta (0.2500, 0.1504, 0.3621)
Ta (0.7500, 0.8691, 0.1309)
Ta (0.7500, 0.3621, 0.1504)
Au (0.2500, 0.6546, 0.3454)
Ta (0.2500, 0.6379, 0.8496)
Ta (0.2500, 0.1309, 0.8691)
Ta (0.7500, 0.8496, 0.6379)

The following is a DFT calculation (GGA-PBEsol) of a relaxed structure of CuSb2F.

Computed properties:
- Crystal system: cubic
- SG: No. 225
- E_form (uncorrected): -0.528 eV per atom

abc: 4.5524 4.5524 4.5524
angles: 60.00 60.00 60.00
Element x y z (fractional)
Cu (0.5000, 0.5000, 0.5000)
Sb (0.7500, 0.7500, 0.7500)
F (0.0000, 0.0000, 0.0000)
Sb (0.2500, 0.2500, 0.2500)

The following is a DFT calculation (GGA-PBEsol) of a relaxed structure of KHgOs3.

Computed properties:
- Crystal system: cubic
- SG: No. 221
- Energy relative to the elements: 3.828 eV per atom

abc: 4.5473 4.5473 4.5473
angles: 90.00 90.00 90.00
Site moments in Bohr magnetons follow the coordinates.
Element x y z (fractional)
Hg (0.5000, 0.5000, 0.5000)  0.00
Os (0.5000, 0.0000, 0.0000)  0.42
Os (0.0000, 0.5000, 0.0000)  0.42
Os (0.0000, 0.0000, 0.5000)  0.42
K (0.0000, 0.0000, 0.0000)  0.00

The following is a DFT calculation (GGA-PBEsol) of a relaxed structure of BiPHRu2.

Computed properties:
- Crystal system: tetragonal
- SG: No. 123

abc: 4.0658 4.1017 4.1017
angles: 90.00 90.00 90.00
Element x y z (fractional)
Bi (0.5000, 0.0000, 0.0000)
Ru (0.0000, 0.0000, 0.5000)
P (0.5000, 0.5000, 0.5000)
Ru (0.0000, 0.5000, 0.0000)
H (0.0000, 0.0000, 0.0000)

The following is a DFT calculation (GGA-PBEsol) of a relaxed structure of IrRuPt.

Computed properties:
- E above lowest polymorph: 0 meV per atom
- Crystal system: tetragonal
- SG: No. 107
- Energy relative to the elements: -0.029 eV per atom

abc: 2.6994 2.6994 6.1155
angles: 102.75 102.75 90.00
Element x y z (fractional)
Pt (0.6689, 0.6689, 0.3378)
Ir (0.9920, 0.9920, 0.9840)
Ru (0.3391, 0.3391, 0.6782)

The following is a DFT calculation (GGA-PBEsol) of a relaxed structure of ZrCu2Te2.

Computed properties:
- Crystal system: tetragonal
- SG: No. 139
- E_form (uncorrected): -0.212 eV per atom

abc: 3.6347 3.6347 7.6809
angles: 103.69 103.69 90.00
Element x y z (fractional)
Te (0.6118, 0.6118, 0.2236)
Zr (0.0000, 0.0000, 0.0000)
Cu (0.2500, 0.7500, 0.5000)
Cu (0.7500, 0.2500, 0.5000)
Te (0.3882, 0.3882, 0.7764)

The following is a DFT calculation (GGA-PBEsol) of a relaxed structure of HfSbN3.

Computed properties:
- Crystal system: cubic
- SG: No. 221
- E_form (uncorrected): 0.477 eV per atom

abc: 3.9374 3.9374 3.9374
angles: 90.00 90.00 90.00
Element x y z (fractional)
N (0.0000, 0.5000, 0.0000)
N (0.0000, 0.0000, 0.5000)
N (0.5000, 0.0000, 0.0000)
Sb (0.0000, 0.0000, 0.0000)
Hf (0.5000, 0.5000, 0.5000)

The final energy results, record by record, are as follows: -23.0, -83.4, -17.5, -19.2, -30.0, -27.0, -25.9, -38.3 eV per cell.